A plane-wave DFT calculation with GGA-PBE was carried out for TlPtAuO4 after structural relaxation.

Summary:
formation energy (no corrections): -0.34 eV/atom
M_tot: 0.000 μB/f.u.
volume: 107 Å³/f.u.

Unit cell a=6.8581 b=6.8581 c=6.8581 alpha=125.30 beta=121.55 gamma=84.20
With the nearest neighbours (Å) after each atom.
Positions (direct):
Tl 0.0000 0.0000 0.0000  6 O 2.29-2.56
Tl 0.5000 0.0000 0.5000  6 O 2.29-2.56
Pt 0.5000 0.0000 0.0000  6 O 2.03-2.04
Pt 0.5000 0.5000 0.5000  6 O 2.03-2.04
Au 0.0298 0.2798 0.7500  2 O 2.07
Au 0.9702 0.7202 0.2500  2 O 2.07
O 0.3004 0.2854 0.4850  1 Pt 2.03
O 0.3004 0.8154 0.0150  1 Pt 2.03
O 0.3042 0.2484 0.0558  2 Pt 2.04, 1 Au 2.07
O 0.3074 0.7516 0.5558  2 Pt 2.04, 1 Au 2.07
O 0.6926 0.2484 0.4442  2 Pt 2.04, 1 Au 2.07
O 0.6958 0.7516 0.9442  2 Pt 2.04, 1 Au 2.07
O 0.6996 0.1846 0.9850  1 Pt 2.03
O 0.6996 0.7146 0.5150  1 Pt 2.03